An optimized crystal structure of LaCePm2P4. Source: Alexandria, functional PBE.

As for the uncorrected energy: -0.49985 Ry per atom. Its formation enthalpy at 0 K is -1.551 eV per atom. The volume comes out at 203.1 Å³/cell. The value obtained for the magnetization is 0.49 μB/f.u.

Cell lengths 7.1926, 4.1557, 7.2029 Å; angles 90.00, 109.41, 90.00 degrees
Closest atoms and distances in Å follow each position.
Positions (direct):
La (0.0000, 0.0000, 0.0000)  6 P 2.96-2.97
Ce (0.0000, 0.5000, 0.5000)  6 P 2.91-2.92
Pm (0.5000, 0.0000, 0.5000)  6 P 2.91
Pm (0.5000, 0.5000, 0.0000)  6 P 2.96-2.97
P (0.2484, 0.0000, 0.7439)  3 Pm 2.91-2.96, 2 Ce 2.92, 1 La 2.96
P (0.2516, 0.5000, 0.2570)  1 Ce 2.91, 3 Pm 2.91-2.97, 2 La 2.97
P (0.7484, 0.5000, 0.7430)  1 Ce 2.91, 3 Pm 2.91-2.97, 2 La 2.97
P (0.7516, 0.0000, 0.2561)  3 Pm 2.91-2.96, 2 Ce 2.92, 1 La 2.96